KCoP3O9: relaxed, PBE with a Hubbard U.

Fermi-level density of states	0.000	states/eV per atom
VASP energy	-0.5043	Ry per atom
total magnetization	6.00	μB per cell

Structure (CIF):
```
data_KCoP3O9
_chemical_formula_sum 'K2 Co2 P6 O18'
_cell_length_a 6.7293
_cell_length_b 6.7293
_cell_length_c 9.9077
_cell_angle_alpha 90.00
_cell_angle_beta 90.00
_cell_angle_gamma 120.00
_symmetry_space_group_name_H-M 'P -6 c 2'
_symmetry_Int_Tables_number 188
_symmetry_space_group_name_Hall 'P -6c 2'
loop_
_atom_site_label
_atom_site_fract_x
_atom_site_fract_y
_atom_site_fract_z
K1 0.0000 0.0000 0.0000
Co1 0.6667 0.3333 0.0000
P1 0.0513 0.4429 0.2500
O1 0.1443 0.4290 0.7500
O2 0.4085 0.0702 0.1199
```